Here is a relaxed Pu3Tl2Se6 crystal from Alexandria via LeMat-Bulk. Energies are from PBE.

It has space group C2/m (No. 12), with a = 7.300 Å, b = 12.685 Å, c = 8.058 Å, α = 90.00°, β = 107.54° and γ = 90.00°. The inequivalent atoms are Pu at (0.000, 0.000, 0.000), Pu at (0.000, 0.334, 0.000), Tl at (0.000, 0.167, 0.500), Se at (0.231, 0.500, 0.201) and Se at (0.235, 0.170, 0.201).

The uncorrected formation energy comes out at -1.125 eV/atom.

=====

Here is a relaxed SmY3Th2Bi6 crystal from Alexandria via LeMat-Bulk. Energies are from PBE.

It has space group C2/m (No. 12), with a = 7.863 Å, b = 13.638 Å, c = 7.826 Å, α = 90.00°, β = 109.57° and γ = 90.00°. The inequivalent atoms are Sm at (0.000, 0.000, 0.000), Y at (0.000, 0.167, 0.500), Y at (0.000, 0.500, 0.500), Th at (0.000, 0.334, 0.000), Bi at (0.246, 0.000, 0.742) and Bi at (0.249, 0.334, 0.743).

The calculation puts the total DFT energy (no corrections) at -143.70 eV/cell.

=====

Here is a relaxed CdSnPb2 crystal from Alexandria via LeMat-Bulk. Energies are from PBE.

It has space group P4/mmm (No. 123), with a = 4.035 Å, b = 4.035 Å, c = 7.072 Å, α = 90.00°, β = 90.00° and γ = 90.00°. The inequivalent atoms are Cd at (0.000, 0.000, 0.000), Sn at (0.000, 0.000, 0.500) and Pb at (0.500, 0.500, 0.245).

The calculation puts the total DFT energy (no corrections) at -12.08 eV/cell.

=====

Here is a relaxed BaMoPb2 crystal from Alexandria via LeMat-Bulk. Energies are from PBE.

It has space group I-4m2 (No. 119), with a = 4.860 Å, b = 4.860 Å, c = 10.306 Å, α = 90.00°, β = 90.00° and γ = 90.00°. The inequivalent atoms are Ba at (0.000, 0.000, 0.000), Mo at (0.000, 0.500, 0.750), Pb at (0.000, 0.000, 0.500) and Pb at (0.000, 0.500, 0.250).

The calculation puts the total DFT energy (no corrections) at -35.30 eV/cell.

=====

Here is a relaxed AlFe3Re crystal from Alexandria via LeMat-Bulk. Energies are from PBE.

It has space group Pm-3m (No. 221), with a = 4.139 Å, b = 4.139 Å, c = 4.139 Å, α = 90.00°, β = 90.00° and γ = 90.00°. The inequivalent atoms are Al at (0.000, 0.000, 0.000), Fe at (0.000, 0.000, 0.500) and Re at (0.500, 0.500, 0.500).

The calculation puts the total DFT energy (no corrections) at -34.07 eV/cell.

=====

Here is a relaxed TbBi2Pd crystal from Alexandria via LeMat-Bulk. Energies are from PBE.

It has space group R-3m (No. 166, hexagonal axes), with a = 3.5420 Å, b = 3.5420 Å, c = 31.1524 Å, α = 90.00°, β = 90.00° and γ = 120.00°. The inequivalent atoms are Tb at (0.0000, 0.0000, 0.0000), Bi at (0.0000, 0.0000, 0.1020) and Pd at (0.0000, 0.0000, 0.5000).

The calculation puts the total DFT energy (no corrections) at -53.68 eV/cell.

=====

Here is a relaxed LiSb2 crystal from Alexandria via LeMat-Bulk. Energies are from PBE.

It has space group I4/mcm (No. 140), with a = 7.086 Å, b = 7.086 Å, c = 5.558 Å, α = 90.00°, β = 90.00° and γ = 90.00°. The inequivalent atoms are Li at (0.000, 0.000, 0.250) and Sb at (0.147, 0.353, 0.000).

The uncorrected formation energy comes out at -0.132 eV/atom.

=====

Here is a relaxed Mg2NiGe crystal from Alexandria via LeMat-Bulk. Energies are from PBE.

It has space group C2/c (No. 15), with a = 9.221 Å, b = 4.460 Å, c = 8.635 Å, α = 90.00°, β = 119.15° and γ = 90.00°. The inequivalent atoms are Mg at (0.181, 0.055, 0.094), Ni at (0.000, 0.179, 0.750) and Ge at (0.000, 0.320, 0.250).

The calculation puts the total DFT energy (no corrections) at -57.17 eV/cell.

=====

Here is a relaxed Ac4TlIn2Hg crystal from Alexandria via LeMat-Bulk. Energies are from PBE.

It has space group R-3m (No. 166, hexagonal axes), with a = 5.8034 Å, b = 5.8034 Å, c = 28.4898 Å, α = 90.00°, β = 90.00° and γ = 120.00°. The inequivalent atoms are Ac at (0.0000, 0.0000, 0.1230), Ac at (0.0000, 0.0000, 0.3728), Tl at (0.0000, 0.0000, 0.5000), In at (0.0000, 0.0000, 0.2495) and Hg at (0.0000, 0.0000, 0.0000).

The calculation puts the total DFT energy (no corrections) at -83.53 eV/cell.

=====

Here is a relaxed Nd3Ho2PuS6 crystal from Alexandria via LeMat-Bulk. Energies are from PBE.

It has space group C2/m (No. 12), with a = 6.880 Å, b = 11.928 Å, c = 6.953 Å, α = 90.00°, β = 109.28° and γ = 90.00°. The inequivalent atoms are Nd at (0.000, 0.000, 0.000), Nd at (0.000, 0.334, 0.000), Ho at (0.000, 0.167, 0.500), Pu at (0.000, 0.500, 0.500), S at (0.241, 0.000, 0.735) and S at (0.247, 0.332, 0.736).

The uncorrected formation energy comes out at -1.981 eV/atom.

=====

Here is a relaxed Na3Pa3SiN8 crystal from Alexandria via LeMat-Bulk. Energies are from PBE.

It has space group C2/m (No. 12), with a = 12.369 Å, b = 6.582 Å, c = 6.850 Å, α = 90.00°, β = 122.67° and γ = 90.00°. The inequivalent atoms are Na at (0.000, 0.000, 0.000), Na at (0.250, 0.250, 0.000), Pa at (0.000, 0.500, 0.500), Pa at (0.250, 0.250, 0.500), Si at (0.000, 0.000, 0.500), N at (0.023, 0.207, 0.340), N at (0.219, 0.500, 0.692) and N at (0.236, 0.500, 0.285).

The uncorrected formation energy comes out at -0.741 eV/atom.

=====

Here is a relaxed NaGaRe3 crystal from Alexandria via LeMat-Bulk. Energies are from PBE.

It has space group Pm-3m (No. 221), with a = 4.497 Å, b = 4.497 Å, c = 4.497 Å, α = 90.00°, β = 90.00° and γ = 90.00°. The inequivalent atoms are Na at (0.000, 0.000, 0.000), Ga at (0.500, 0.500, 0.500) and Re at (0.000, 0.000, 0.500).

The calculation puts the total DFT energy (no corrections) at -26.40 eV/cell.

=====

Here is a relaxed Rb2BaScCl6 crystal from Alexandria via LeMat-Bulk. Energies are from PBE.

It has space group P-1 (No. 2), with a = 7.630 Å, b = 7.631 Å, c = 7.642 Å, α = 63.07°, β = 63.06° and γ = 63.08°. The inequivalent atoms are Rb at (0.229, 0.229, 0.229), Ba at (0.500, 0.500, 0.500), Sc at (0.000, 0.000, 0.000), Cl at (0.146, 0.314, 0.781), Cl at (0.220, 0.855, 0.686) and Cl at (0.314, 0.780, 0.146).

The uncorrected formation energy comes out at -2.050 eV/atom.

=====

Here is a relaxed CaIn2HgPd crystal from Alexandria via LeMat-Bulk. Energies are from PBE.

It has space group P4/mmm (No. 123), with a = 5.170 Å, b = 5.170 Å, c = 5.507 Å, α = 90.00°, β = 90.00° and γ = 90.00°. The inequivalent atoms are Ca at (0.000, 0.000, 0.000), In at (0.000, 0.500, 0.500), Hg at (0.500, 0.500, 0.000) and Pd at (0.000, 0.000, 0.500).

The calculation puts the total DFT energy (no corrections) at -14.58 eV/cell.

=====

Here is a relaxed HgC2Br2 crystal from Alexandria via LeMat-Bulk. Energies are from PBE.

It has space group I4/mmm (No. 139), with a = 4.246 Å, b = 4.246 Å, c = 14.782 Å, α = 90.00°, β = 90.00° and γ = 90.00°. The inequivalent atoms are Hg at (0.000, 0.000, 0.000), C at (0.000, 0.500, 0.250) and Br at (0.000, 0.000, 0.296).

The uncorrected formation energy comes out at 2.087 eV/atom.

=====

Here is a relaxed TmTl2Cl5 crystal from Alexandria via LeMat-Bulk. Energies are from PBE.

It has space group I4mm (No. 107), with a = 7.631 Å, b = 7.631 Å, c = 11.364 Å, α = 90.00°, β = 90.00° and γ = 90.00°. The inequivalent atoms are Tm at (0.000, 0.000, 0.000), Tl at (0.000, 0.500, 0.199), Cl at (0.000, 0.000, 0.784) and Cl at (0.230, 0.230, 0.060).

The uncorrected formation energy comes out at -1.617 eV/atom.

=====

Here is a relaxed Tb2EuS crystal from Alexandria via LeMat-Bulk. Energies are from PBE.

It has space group R-3m (No. 166, hexagonal axes), with a = 3.7656 Å, b = 3.7656 Å, c = 30.4066 Å, α = 90.00°, β = 90.00° and γ = 120.00°. The inequivalent atoms are Tb at (0.0000, 0.0000, 0.1141), Eu at (0.0000, 0.0000, 0.0000) and S at (0.0000, 0.0000, 0.5000).

The uncorrected formation energy comes out at -0.799 eV/atom.

=====

Here is a relaxed LiHgTe crystal from Alexandria via LeMat-Bulk. Energies are from PBE.

It has space group Fmm2 (No. 42), with a = 4.560 Å, b = 5.001 Å, c = 13.280 Å, α = 90.00°, β = 90.00° and γ = 90.00°. The inequivalent atoms are Li at (0.000, 0.000, 0.000), Hg at (0.000, 0.000, 0.662) and Te at (0.000, 0.000, 0.367).

The uncorrected formation energy comes out at -0.319 eV/atom.

=====

Here is a relaxed In2Bi2Pb crystal from Alexandria via LeMat-Bulk. Energies are from PBE.

It has space group P4/mbm (No. 127), with a = 9.312 Å, b = 9.312 Å, c = 3.609 Å, α = 90.00°, β = 90.00° and γ = 90.00°. The inequivalent atoms are In at (0.147, 0.353, 0.000), Bi at (0.152, 0.652, 0.500) and Pb at (0.000, 0.000, 0.500).

The calculation puts the total DFT energy (no corrections) at -33.35 eV/cell.

=====

Here is a relaxed BaLi2Ru crystal from Alexandria via LeMat-Bulk. Energies are from PBE.

It has space group Cmmm (No. 65), with a = 5.893 Å, b = 8.824 Å, c = 3.146 Å, α = 90.00°, β = 90.00° and γ = 90.00°. The inequivalent atoms are Ba at (0.000, 0.000, 0.000), Li at (0.250, 0.250, 0.500) and Ru at (0.000, 0.500, 0.000).

The calculation puts the total DFT energy (no corrections) at -25.03 eV/cell.